No. 1
Density functional theory data (PBE) for crystalline Si2AgCl at its relaxed geometry.

V = 19.53 Å³ per atom
space group = No. 12
calculated total energy = -14.18 eV for the cell shown
excess energy over the best structure of this formula in the dataset = 316 meV per atom
total magnetization = 0.000 μB per atom

Cell lengths 7.5968, 5.7488, 2.9712 Å; angles 63.12, 107.05, 137.43 degrees
Fractional coordinates of all 4 atoms:
1 Si 0.5000 0.0000 0.5000
2 Si 0.0000 0.0000 0.0000
3 Cl 0.5000 0.5000 0.0000
4 Ag 0.0000 0.5000 0.5000


No. 2
Density functional theory data (PBE) for crystalline BaNd2Ti3O10 at its relaxed geometry.

V = 13.45 Å³ per atom
space group = No. 11
calculated total energy = -544.97 eV for the cell shown
excess energy over the best structure of this formula in the dataset = 0 meV per atom
total magnetization = 0.000 μB per atom

Cell lengths 7.6762, 7.7831, 14.5383 Å; angles 82.43, 90.00, 90.00 degrees
Fractional coordinates of all 64 atoms:
1 Ti 0.0019 0.0675 0.7095
2 O 0.5149 0.8126 0.7483
3 Ti 0.9997 0.5784 0.7056
4 O 0.7500 0.9361 0.0217
5 O 0.0149 0.1874 0.2517
6 O 0.5478 0.0512 0.8684
7 Nd 0.2500 0.2943 0.8442
8 O 0.4794 0.3187 0.7282
9 Ti 0.4997 0.4216 0.2944
10 Ba 0.2500 0.3656 0.5327
11 O 0.4522 0.9488 0.1316
12 Ti 0.5000 0.5000 0.0000
13 O 0.0335 0.6174 0.5839
14 O 0.9794 0.6813 0.2718
15 Ti 0.5003 0.5784 0.7056
16 O 0.4851 0.1874 0.2517
17 O 0.7500 0.5551 0.7140
18 Nd 0.2500 0.7072 0.1667
19 Ba 0.2500 0.8714 0.5062
20 O 0.9522 0.0512 0.8684
21 O 0.5335 0.3826 0.4161
22 O 0.2500 0.0496 0.7565
23 Nd 0.7500 0.2151 0.1482
24 Nd 0.2500 0.2156 0.1359
25 O 0.9851 0.8126 0.7483
26 O 0.9654 0.5107 0.8681
27 O 0.0346 0.4893 0.1319
28 Nd 0.7500 0.7844 0.8641
29 O 0.0485 0.0859 0.5895
30 O 0.0206 0.3187 0.7282
31 Ti 0.4981 0.0675 0.7095
32 Nd 0.7500 0.2928 0.8333
33 O 0.4654 0.4893 0.1319
34 O 0.7500 0.0931 0.7064
35 O 0.9526 0.2451 0.0188
36 O 0.0474 0.7549 0.9812
37 O 0.0478 0.9488 0.1316
38 O 0.2500 0.5779 0.7479
39 Ti 0.9981 0.9325 0.2905
40 Ti 0.0000 0.0000 0.0000
41 O 0.4665 0.6174 0.5839
42 Nd 0.7500 0.7057 0.1558
43 O 0.2500 0.9069 0.2936
44 Ti 0.0000 0.5000 0.0000
45 O 0.9665 0.3826 0.4161
46 O 0.7500 0.5556 0.0158
47 O 0.2500 0.4449 0.2860
48 O 0.5485 0.9141 0.4105
49 O 0.2500 0.4444 0.9842
50 O 0.5346 0.5107 0.8681
51 O 0.4515 0.0859 0.5895
52 Ti 0.0003 0.4216 0.2944
53 Ba 0.7500 0.6344 0.4673
54 Ba 0.7500 0.1286 0.4938
55 Ti 0.5000 0.0000 0.0000
56 O 0.9515 0.9141 0.4105
57 O 0.7500 0.9504 0.2435
58 O 0.2500 0.0639 0.9783
59 O 0.5474 0.2451 0.0188
60 O 0.4526 0.7549 0.9812
61 O 0.7500 0.4221 0.2521
62 Ti 0.5019 0.9325 0.2905
63 Nd 0.2500 0.7849 0.8518
64 O 0.5206 0.6813 0.2718


No. 3
Density functional theory data (PBE) for crystalline Rb2HWBr6 at its relaxed geometry.

V = 31.62 Å³ per atom
space group = No. 139
calculated total energy = -35.91 eV for the cell shown
total magnetization = 0.300 μB per atom

Cell lengths 8.4159, 8.4159, 7.4390 Å; angles 55.55, 55.55, 90.00 degrees
Site moments in Bohr magnetons follow the coordinates.
Fractional coordinates of all 10 atoms:
1 Br 0.2160 0.2160 0.0000  0.02
2 W 0.0000 0.0000 0.0000  2.19
3 Rb 0.2500 0.7500 0.5000  0.00
4 Rb 0.7500 0.2500 0.5000  0.00
5 Br 0.7840 0.7840 0.0000  0.02
6 Br 0.6935 0.6935 0.6131  0.01
7 Br 0.7840 0.2160 0.0000  0.02
8 H 0.5000 0.5000 0.0000  0.04
9 Br 0.3065 0.3065 0.3869  0.01
10 Br 0.2160 0.7840 0.0000  0.02


No. 4
Density functional theory data (PBE) for crystalline LaBeBr3 at its relaxed geometry.

V = 23.86 Å³ per atom
space group = No. 221
calculated total energy = -16.85 eV for the cell shown
excess energy over the best structure of this formula in the dataset = 167 meV per atom
total magnetization = 0.104 μB per atom

Cell lengths 4.9226, 4.9226, 4.9226 Å; angles 90.00, 90.00, 90.00 degrees
Site moments in Bohr magnetons follow the coordinates.
Fractional coordinates of all 5 atoms:
1 Be 0.0000 0.0000 0.0000  0.00
2 La 0.5000 0.5000 0.5000  0.33
3 Br 0.0000 0.5000 0.0000  0.00
4 Br 0.5000 0.0000 0.0000  0.00
5 Br 0.0000 0.0000 0.5000  0.00


No. 5
Density functional theory data (PBE) for crystalline Cs3La2DySe6 at its relaxed geometry.

V = 35.48 Å³ per atom
space group = No. 12
calculated total energy = -59.29 eV for the cell shown
total magnetization = 0.000 μB per atom

Cell lengths 7.6582, 7.6582, 8.7632 Å; angles 98.38, 98.38, 120.00 degrees
Fractional coordinates of all 12 atoms:
1 La 0.3335 0.6665 0.0000
2 Cs 0.1684 0.8316 0.5000
3 Cs 0.8316 0.1684 0.5000
4 Se 0.9371 0.6152 0.8115
5 Se 0.0629 0.3848 0.1885
6 Se 0.3848 0.0629 0.1885
7 Se 0.7413 0.7413 0.1894
8 Se 0.6152 0.9371 0.8115
9 Dy 0.0000 0.0000 0.0000
10 La 0.6665 0.3335 0.0000
11 Cs 0.5000 0.5000 0.5000
12 Se 0.2587 0.2587 0.8106


No. 6
Density functional theory data (PBE) for crystalline Ni2BCl at its relaxed geometry.

V = 11.05 Å³ per atom
space group = No. 225
calculated total energy = -16.96 eV for the cell shown
excess energy over the best structure of this formula in the dataset = 543 meV per atom
total magnetization = 0.000 μB per atom

Cell lengths 3.9690, 3.9690, 3.9690 Å; angles 60.00, 60.00, 60.00 degrees
Fractional coordinates of all 4 atoms:
1 Cl 0.5000 0.5000 0.5000
2 Ni 0.2500 0.2500 0.2500
3 Ni 0.7500 0.7500 0.7500
4 B 0.0000 0.0000 0.0000


No. 7
Density functional theory data (PBE) for crystalline YH3Rh at its relaxed geometry.

V = 10.75 Å³ per atom
space group = No. 194
calculated total energy = -51.92 eV for the cell shown
total magnetization = 0.000 μB per atom

Cell lengths 3.6858, 3.6858, 9.1374 Å; angles 90.00, 90.00, 120.00 degrees
Fractional coordinates of all 10 atoms:
1 H 0.0000 0.0000 0.7500
2 H 0.6667 0.3333 0.4368
3 H 0.3333 0.6667 0.5632
4 H 0.3333 0.6667 0.9368
5 H 0.0000 0.0000 0.2500
6 Rh 0.3333 0.6667 0.7500
7 Y 0.0000 0.0000 0.5000
8 H 0.6667 0.3333 0.0632
9 Rh 0.6667 0.3333 0.2500
10 Y 0.0000 0.0000 0.0000


No. 8
Density functional theory data (PBE) for crystalline Cs2K4GaP2 at its relaxed geometry.

V = 64.25 Å³ per atom
space group = No. 12
calculated total energy = -21.75 eV for the cell shown
total magnetization = 0.000 μB per atom
ΔE_f = -0.2012 eV per atom

Cell lengths 5.0243, 11.9245, 11.9245 Å; angles 70.29, 65.31, 65.31 degrees
Fractional coordinates of all 9 atoms:
1 K 0.7456 0.2832 0.9755
2 Ga 0.5000 0.0000 0.0000
3 K 0.7456 0.9755 0.2832
4 K 0.2544 0.7168 0.0245
5 K 0.2544 0.0245 0.7168
6 Cs 0.8211 0.3395 0.3395
7 Cs 0.1789 0.6605 0.6605
8 P 0.2443 0.1301 0.1301
9 P 0.7557 0.8699 0.8699


No. 9
Density functional theory data (PBE) for crystalline CaSiSb2N at its relaxed geometry.

V = 27.37 Å³ per atom
space group = No. 123
calculated total energy = -17.52 eV for the cell shown
total magnetization = 0.000 μB per atom

Cell lengths 5.8743, 3.9665, 5.8743 Å; angles 90.00, 90.00, 90.00 degrees
Fractional coordinates of all 5 atoms:
1 Sb 0.5000 0.0000 0.0000
2 Sb 0.0000 0.0000 0.5000
3 Si 0.5000 0.5000 0.5000
4 N 0.0000 0.5000 0.0000
5 Ca 0.0000 0.0000 0.0000


No. 10
Density functional theory data (PBE) for crystalline PW at its relaxed geometry.

V = 15.04 Å³ per atom
space group = No. 166
calculated total energy = -36.85 eV for the cell shown
total magnetization = 0.000 μB per atom
ΔE_f = -0.0309 eV per atom

Cell lengths 7.7094, 7.7094, 7.7094 Å; angles 22.76, 22.76, 22.76 degrees
Fractional coordinates of all 4 atoms:
1 P 0.1249 0.1249 0.1249
2 P 0.8751 0.8751 0.8751
3 W 0.3827 0.3827 0.3827
4 W 0.6173 0.6173 0.6173


No. 11
Density functional theory data (PBE) for crystalline CaLaI5 at its relaxed geometry.

V = 46.57 Å³ per atom
space group = No. 62
calculated total energy = -102.05 eV for the cell shown
excess energy over the best structure of this formula in the dataset = 0 meV per atom
total magnetization = 0.000 μB per atom

Cell lengths 4.5008, 15.8013, 18.3340 Å; angles 90.00, 90.00, 90.00 degrees
Fractional coordinates of all 28 atoms:
1 I 0.2500 0.8515 0.0597
2 I 0.7500 0.6485 0.9844
3 I 0.2500 0.8466 0.2608
4 I 0.2500 0.1485 0.5156
5 I 0.7500 0.3515 0.4403
6 La 0.2500 0.2600 0.8413
7 I 0.7500 0.8589 0.8327
8 I 0.2500 0.1411 0.1673
9 I 0.7500 0.4010 0.8426
10 La 0.2500 0.2400 0.3413
11 I 0.7500 0.3466 0.2392
12 Ca 0.2500 0.7544 0.9093
13 I 0.2500 0.3589 0.6673
14 I 0.7500 0.6411 0.3327
15 Ca 0.2500 0.7456 0.4093
16 La 0.7500 0.7600 0.6587
17 Ca 0.7500 0.2544 0.5907
18 La 0.7500 0.7400 0.1587
19 I 0.2500 0.5990 0.1574
20 I 0.7500 0.1534 0.7392
21 I 0.2500 0.6485 0.5597
22 I 0.7500 0.1485 0.9403
23 I 0.7500 0.0990 0.3426
24 I 0.2500 0.6534 0.7608
25 I 0.2500 0.3515 0.0156
26 I 0.2500 0.9010 0.6574
27 Ca 0.7500 0.2456 0.0907
28 I 0.7500 0.8515 0.4844


No. 12
Density functional theory data (PBE) for crystalline GaSb2TeH at its relaxed geometry.

V = 31.63 Å³ per atom
space group = No. 123
calculated total energy = -13.05 eV for the cell shown
excess energy over the best structure of this formula in the dataset = 561 meV per atom
total magnetization = 0.163 μB per atom

Cell lengths 5.3509, 5.3509, 5.5243 Å; angles 90.00, 90.00, 90.00 degrees
Site moments in Bohr magnetons follow the coordinates.
Fractional coordinates of all 5 atoms:
1 H 0.5000 0.5000 0.5000  0.35
2 Ga 0.0000 0.0000 0.0000  0.00
3 Te 0.0000 0.0000 0.5000  0.02
4 Sb 0.0000 0.5000 0.0000  -0.01
5 Sb 0.5000 0.0000 0.0000  -0.01


> Among the records above, which one has the lowest calculated total energy?

BaNd2Ti3O10